Density functional theory data (PBE) for a relaxed Pa3Tc2Ge crystal.

N(E_F) = 1.35 states/eV/atom
Calculated total energy = -9.19 eV/atom

CIF file:
```
data_Pa3Tc2Ge
_chemical_formula_sum 'Pa12 Tc8 Ge4'
_cell_length_a 15.170
_cell_length_b 4.521
_cell_length_c 7.879
_cell_angle_alpha 90.00
_cell_angle_beta 106.66
_cell_angle_gamma 90.00
_symmetry_space_group_name_H-M 'C 1 2/m 1'
_symmetry_Int_Tables_number 12
_symmetry_space_group_name_Hall '-C 2y'
loop_
_atom_site_label
_atom_site_type_symbol
_atom_site_fract_x
_atom_site_fract_y
_atom_site_fract_z
_atom_site_occupancy
Pa1 Pa 0.077 0.000 0.225 1
Pa2 Pa 0.097 0.500 0.888 1
Pa3 Pa 0.242 0.000 0.681 1
Tc1 Tc 0.065 0.000 0.658 1
Tc2 Tc 0.197 0.000 0.058 1
Ge1 Ge 0.097 0.500 0.491 1
```